The following is a PBE-GGA calculation of a relaxed structure of AlBOsPb2, from Alexandria via LeMat-Bulk.

POSCAR file:
```
AlBOsPb2
1.0
-3.192 -0.534 -4.298
-2.469 -2.450 2.138
-2.859 4.271 1.592
Os Pb Al B
1 2 1 1
Cartesian
0.000 0.000 0.000
-1.429 2.135 0.796
-1.596 -0.267 -2.149
-4.260 0.643 -0.284
-1.234 -1.225 1.069
```

Values from the calculation:
DFT total energy = -25.3 eV/f.u.
magnetization = 0.000 μB per formula unit
crystal system = tetragonal

=====

The following is a PBE-GGA calculation of a relaxed structure of Al2BOsPd, from Alexandria via LeMat-Bulk.

POSCAR file:
```
Al2BOsPd
1.0
-1.715 -3.619 -2.131
-0.171 -2.492 4.369
-4.197 1.562 0.727
Pd Al B Os
1 2 1 1
Cartesian
0.000 0.000 0.000
-0.858 -1.809 -1.066
-2.099 0.781 0.363
-3.042 -2.275 1.482
-0.085 -1.246 2.184
```

Values from the calculation:
DFT total energy = -22.2 eV/f.u.
magnetization = 2.301 μB per formula unit
crystal system = tetragonal

=====

| no. | ΔE_f (meV/atom) |
| --- | --- |
| 1 | 762 |
| 2 | 1673 |